Entry 1:
{
  "formula": "Na8B13C3",
  "functional": "PBE",
  "state": "relaxed",
  "lattice_angstrom": [[-1.356, 2.170, 1.142], [-0.794, -4.406, 7.429], [9.266, 4.016, 3.372]],
  "species": ["B", "Na", "B", "B", "Na", "Na", "C", "B", "B", "B", "C", "B", "Na", "B", "Na", "B", "B", "B", "Na", "B", "B", "Na", "Na", "C"],
  "frac_coords": [[0.000, 0.250, 0.675], [0.000, 0.997, 0.999], [0.000, 0.250, 0.341], [0.000, 0.250, 0.174], [0.500, 0.999, 0.250], [0.000, 0.503, 0.999], [0.500, 0.250, 0.419], [0.500, 0.250, 0.567], [0.000, 0.750, 0.175], [0.000, 0.750, 0.818], [0.500, 0.750, 0.581], [0.500, 0.750, 0.919], [0.000, 0.499, 0.500], [0.500, 0.750, 0.078], [0.500, 0.000, 0.750], [0.000, 0.750, 0.656], [0.500, 0.250, 0.067], [0.000, 0.250, 0.841], [0.500, 0.501, 0.250], [0.500, 0.750, 0.435], [0.000, 0.750, 0.335], [0.500, 0.500, 0.750], [0.000, 0.001, 0.500], [0.500, 0.250, 0.919]],
  "formation_enthalpy_0k_ev_per_fu": 4.4,
  "e_tot_ev_per_atom": -5.028,
  "spacegroup": "Pmm2 (25)",
  "polymorph_energy_mev_per_atom": 0.0
}

***

Entry 2:
{
  "formula": "ZnCuCl2",
  "functional": "PBE",
  "state": "relaxed",
  "lattice_angstrom": [[-0.960, 1.421, -4.371], [-4.518, 0.541, 1.171], [0.599, 3.100, 0.876]],
  "species": ["Cl", "Zn", "Cl", "Cu"],
  "frac_coords": [[0.000, 0.000, 0.000], [0.000, 0.500, 0.500], [0.500, 0.500, 0.000], [0.500, 0.000, 0.500]],
  "raw_formation_energy_ev_per_atom": 0.02,
  "e_tot_ev_per_atom": -2.243,
  "spacegroup": "P4/mmm (123)",
  "polymorph_energy_mev_per_atom": 459.9
}

***

Please write out number 2 again, unchanged.
{
  "formula": "ZnCuCl2",
  "functional": "PBE",
  "state": "relaxed",
  "lattice_angstrom": [[-0.960, 1.421, -4.371], [-4.518, 0.541, 1.171], [0.599, 3.100, 0.876]],
  "species": ["Cl", "Zn", "Cl", "Cu"],
  "frac_coords": [[0.000, 0.000, 0.000], [0.000, 0.500, 0.500], [0.500, 0.500, 0.000], [0.500, 0.000, 0.500]],
  "raw_formation_energy_ev_per_atom": 0.02,
  "e_tot_ev_per_atom": -2.243,
  "spacegroup": "P4/mmm (123)",
  "polymorph_energy_mev_per_atom": 459.9
}

***

What did the first record say?
{
  "formula": "Na8B13C3",
  "functional": "PBE",
  "state": "relaxed",
  "lattice_angstrom": [[-1.356, 2.170, 1.142], [-0.794, -4.406, 7.429], [9.266, 4.016, 3.372]],
  "species": ["B", "Na", "B", "B", "Na", "Na", "C", "B", "B", "B", "C", "B", "Na", "B", "Na", "B", "B", "B", "Na", "B", "B", "Na", "Na", "C"],
  "frac_coords": [[0.000, 0.250, 0.675], [0.000, 0.997, 0.999], [0.000, 0.250, 0.341], [0.000, 0.250, 0.174], [0.500, 0.999, 0.250], [0.000, 0.503, 0.999], [0.500, 0.250, 0.419], [0.500, 0.250, 0.567], [0.000, 0.750, 0.175], [0.000, 0.750, 0.818], [0.500, 0.750, 0.581], [0.500, 0.750, 0.919], [0.000, 0.499, 0.500], [0.500, 0.750, 0.078], [0.500, 0.000, 0.750], [0.000, 0.750, 0.656], [0.500, 0.250, 0.067], [0.000, 0.250, 0.841], [0.500, 0.501, 0.250], [0.500, 0.750, 0.435], [0.000, 0.750, 0.335], [0.500, 0.500, 0.750], [0.000, 0.001, 0.500], [0.500, 0.250, 0.919]],
  "formation_enthalpy_0k_ev_per_fu": 4.4,
  "e_tot_ev_per_atom": -5.028,
  "spacegroup": "Pmm2 (25)",
  "polymorph_energy_mev_per_atom": 0.0
}